Material: NiBi3Ir
Method: DFT, PBE-GGA
State: relaxed

a = 5.004 Å, b = 5.004 Å, c = 5.004 Å
α = 90.00°, β = 90.00°, γ = 90.00°
Space group Pm-3m (No. 221)
Asymmetric unit:
Ni (0.000, 0.000, 0.000)
Bi (0.000, 0.000, 0.500)
Ir (0.500, 0.500, 0.500)

Calculated volume   125.3 Å³ per cell
Energy relative to the elements   0.76 eV/atom
Distance to the lowest polymorph of the same formula   0.556 eV/atom